Record 1
Compound: Tb2NdY6Er
Source: the Alexandria database
Functional: GGA-PBE
Structure: optimized geometry

The calculation puts the raw total energy at -56.2 eV/f.u. The value obtained for the calculated volume is 32.8 Å³ per atom.

a b c (Å): 8.7703 8.7703 9.7441
angles (deg): 94.92 94.92 117.40
Closest atoms and distances in Å follow each position.
Sites, in units of the cell vectors:
Tb1 0.1911 0.2905 0.0447  6 Y 3.27-3.66, 2 Er 3.34-3.38, 1 Nd 3.56
Tb2 0.2905 0.1911 0.5447  6 Y 3.27-3.66, 2 Er 3.34-3.38, 1 Nd 3.56
Tb3 0.7095 0.8089 0.4553  6 Y 3.27-3.66, 2 Er 3.34-3.38, 1 Nd 3.56
Tb4 0.8089 0.7095 0.9553  6 Y 3.27-3.66, 2 Er 3.34-3.38, 1 Nd 3.56
Nd1 0.4055 0.5945 0.7500  8 Y 3.43-3.81, 2 Tb 3.56
Nd2 0.5945 0.4055 0.2500  8 Y 3.43-3.81, 2 Tb 3.56
Y1 0.0235 0.5762 0.1827  3 Y 3.25-3.62, 1 Tb 3.40, 1 Nd 3.50, 1 Er 3.54
Y2 0.1201 0.7507 0.5560  6 Y 3.42-3.77, 1 Tb 3.46, 1 Er 3.62, 1 Nd 3.81
Y3 0.2493 0.8799 0.9440  6 Y 3.42-3.77, 1 Tb 3.46, 1 Er 3.62, 1 Nd 3.81
Y4 0.2939 0.5023 0.3801  4 Y 3.25-3.59, 3 Tb 3.27-3.44, 2 Nd 3.43-3.57
Y5 0.4238 0.9765 0.3173  3 Y 3.25-3.62, 1 Tb 3.40, 1 Nd 3.50, 1 Er 3.54
Y6 0.4977 0.7061 0.1199  4 Y 3.25-3.59, 3 Tb 3.27-3.44, 2 Nd 3.43-3.57
Y7 0.5023 0.2939 0.8801  4 Y 3.25-3.59, 3 Tb 3.27-3.44, 2 Nd 3.43-3.57
Y8 0.5762 0.0235 0.6827  3 Y 3.25-3.62, 1 Tb 3.40, 1 Nd 3.50, 1 Er 3.54
Y9 0.7061 0.4977 0.6199  4 Y 3.25-3.59, 3 Tb 3.27-3.44, 2 Nd 3.43-3.57
Y10 0.7507 0.1201 0.0560  6 Y 3.42-3.77, 1 Tb 3.46, 1 Er 3.62, 1 Nd 3.81
Y11 0.8799 0.2493 0.4440  6 Y 3.42-3.77, 1 Tb 3.46, 1 Er 3.62, 1 Nd 3.81
Y12 0.9765 0.4238 0.8173  3 Y 3.25-3.62, 1 Tb 3.40, 1 Nd 3.50, 1 Er 3.54
Er1 0.0218 0.9782 0.2500  4 Tb 3.34-3.38, 4 Y 3.54-3.62
Er2 0.9782 0.0218 0.7500  4 Tb 3.34-3.38, 4 Y 3.54-3.62



Record 2
Compound: RbCd2In
Source: the Alexandria database
Functional: GGA-PBE
Structure: optimized geometry

The calculation puts the raw total energy at -5.3 eV/f.u. The value obtained for the calculated volume is 43.0 Å³ per atom.

a b c (Å): 5.8827 5.8827 19.8815
angles (deg): 90.00 90.00 90.00
Closest atoms and distances in Å follow each position.
Sites, in units of the cell vectors:
Rb1 0.0000 0.0000 0.0000  8 Cd 4.11-4.13, 4 In 4.16
Rb2 0.0000 0.5000 0.2500  8 Cd 4.11-4.13, 4 In 4.16
Rb3 0.5000 0.0000 0.7500  8 Cd 4.11-4.13, 4 In 4.16
Rb4 0.5000 0.5000 0.5000  8 Cd 4.11-4.13, 4 In 4.16
Cd1 0.0031 0.2500 0.6250  2 In 2.89, 2 Cd 2.94
Cd2 0.2500 0.5031 0.8750  2 In 2.89, 2 Cd 2.94
Cd3 0.2500 0.9969 0.3750  2 In 2.89, 2 Cd 2.94
Cd4 0.4969 0.2500 0.1250  2 In 2.89, 2 Cd 2.94
Cd5 0.5031 0.7500 0.1250  2 In 2.89, 2 Cd 2.94
Cd6 0.7500 0.0031 0.3750  2 In 2.89, 2 Cd 2.94
Cd7 0.7500 0.4969 0.8750  2 In 2.89, 2 Cd 2.94
Cd8 0.9969 0.7500 0.6250  2 In 2.89, 2 Cd 2.94
In1 0.0000 0.0000 0.5000  4 Cd 2.89
In2 0.0000 0.5000 0.7500  4 Cd 2.89
In3 0.5000 0.0000 0.2500  4 Cd 2.89
In4 0.5000 0.5000 0.0000  4 Cd 2.89



Record 3
Compound: Pu2UIn9
Source: the Alexandria database
Functional: GGA-PBE
Structure: optimized geometry

The calculation puts the raw total energy at -66.4 eV/f.u. The value obtained for the calculated volume is 25.2 Å³ per atom.

a b c (Å): 4.6530 4.6530 13.9498
angles (deg): 90.00 90.00 90.00
Closest atoms and distances in Å follow each position.
Sites, in units of the cell vectors:
Pu1 0.0000 0.0000 0.1674  12 In 3.28-3.30
Pu2 0.0000 0.0000 0.8326  12 In 3.28-3.30
U1 0.0000 0.0000 0.5000  12 In 3.29
In1 0.0000 0.5000 0.0000  8 In 3.29, 4 Pu 3.30
In2 0.0000 0.5000 0.3336  2 Pu 3.28, 8 In 3.29, 2 U 3.29
In3 0.0000 0.5000 0.6664  2 Pu 3.28, 8 In 3.29, 2 U 3.29
In4 0.5000 0.0000 0.0000  8 In 3.29, 4 Pu 3.30
In5 0.5000 0.0000 0.3336  2 Pu 3.28, 8 In 3.29, 2 U 3.29
In6 0.5000 0.0000 0.6664  2 Pu 3.28, 8 In 3.29, 2 U 3.29
In7 0.5000 0.5000 0.1666  8 In 3.29, 4 Pu 3.29
In8 0.5000 0.5000 0.5000  8 In 3.29, 4 U 3.29
In9 0.5000 0.5000 0.8334  8 In 3.29, 4 Pu 3.29



Record 4
Compound: PmSm2YHo6
Source: the Alexandria database
Functional: GGA-PBE
Structure: optimized geometry

The calculation puts the raw total energy at -46.9 eV/f.u. The value obtained for the calculated volume is 32.5 Å³ per atom.

a b c (Å): 8.7812 8.7812 9.6799
angles (deg): 94.52 94.52 118.26
Closest atoms and distances in Å follow each position.
Sites, in units of the cell vectors:
Pm1 0.0937 0.9063 0.7500  8 Ho 3.43-3.77, 2 Sm 3.58
Pm2 0.9063 0.0937 0.2500  8 Ho 3.43-3.77, 2 Sm 3.58
Sm1 0.2029 0.3091 0.9579  6 Ho 3.27-3.63, 2 Y 3.34-3.38, 1 Pm 3.58
Sm2 0.3091 0.2029 0.4579  6 Ho 3.27-3.63, 2 Y 3.34-3.38, 1 Pm 3.58
Sm3 0.6909 0.7971 0.5421  6 Ho 3.27-3.63, 2 Y 3.34-3.38, 1 Pm 3.58
Sm4 0.7971 0.6909 0.0421  6 Ho 3.27-3.63, 2 Y 3.34-3.38, 1 Pm 3.58
Y1 0.4806 0.5194 0.2500  4 Sm 3.34-3.38, 4 Ho 3.59-3.67
Y2 0.5194 0.4806 0.7500  4 Sm 3.34-3.38, 4 Ho 3.59-3.67
Ho1 0.0006 0.7909 0.3794  4 Ho 3.22-3.53, 3 Sm 3.27-3.43, 2 Pm 3.43-3.57
Ho2 0.0766 0.5267 0.1850  2 Ho 3.22-3.58, 1 Sm 3.38, 1 Pm 3.50, 1 Y 3.59
Ho3 0.2091 0.9994 0.1206  4 Ho 3.22-3.53, 3 Sm 3.27-3.43, 2 Pm 3.43-3.57
Ho4 0.2457 0.6249 0.5565  7 Ho 3.39-3.76, 1 Sm 3.48, 1 Y 3.67, 1 Pm 3.77
Ho5 0.3751 0.7543 0.9435  7 Ho 3.39-3.76, 1 Sm 3.48, 1 Y 3.67, 1 Pm 3.77
Ho6 0.4733 0.9234 0.3150  2 Ho 3.22-3.58, 1 Sm 3.38, 1 Pm 3.50, 1 Y 3.59
Ho7 0.5267 0.0766 0.6850  2 Ho 3.22-3.58, 1 Sm 3.38, 1 Pm 3.50, 1 Y 3.59
Ho8 0.6249 0.2457 0.0565  7 Ho 3.39-3.76, 1 Sm 3.48, 1 Y 3.67, 1 Pm 3.77
Ho9 0.7543 0.3751 0.4435  7 Ho 3.39-3.76, 1 Sm 3.48, 1 Y 3.67, 1 Pm 3.77
Ho10 0.7909 0.0006 0.8794  4 Ho 3.22-3.53, 3 Sm 3.27-3.43, 2 Pm 3.43-3.57
Ho11 0.9234 0.4733 0.8150  2 Ho 3.22-3.58, 1 Sm 3.38, 1 Pm 3.50, 1 Y 3.59
Ho12 0.9994 0.2091 0.6206  4 Ho 3.22-3.53, 3 Sm 3.27-3.43, 2 Pm 3.43-3.57



Record 5
Compound: CsGaBi
Source: the Alexandria database
Functional: GGA-PBE
Structure: optimized geometry

The calculation puts the raw total energy at -8.3 eV/f.u. The value obtained for the calculated volume is 54.2 Å³ per atom.

a b c (Å): 7.8813 14.9173 5.5362
angles (deg): 90.00 90.00 90.00
Closest atoms and distances in Å follow each position.
Sites, in units of the cell vectors:
Cs1 0.0000 0.1793 0.2500  1 Ga 3.92, 4 Bi 3.98-4.01
Cs2 0.0000 0.8207 0.7500  1 Ga 3.92, 4 Bi 3.98-4.01
Cs3 0.5000 0.3207 0.7500  1 Ga 3.92, 4 Bi 3.98-4.01
Cs4 0.5000 0.6793 0.2500  1 Ga 3.92, 4 Bi 3.98-4.01
Ga1 0.0000 0.4419 0.2500  3 Bi 2.79-2.96
Ga2 0.0000 0.5581 0.7500  3 Bi 2.79-2.96
Ga3 0.5000 0.0581 0.7500  3 Bi 2.79-2.96
Ga4 0.5000 0.9419 0.2500  3 Bi 2.79-2.96
Bi1 0.0000 0.3708 0.7500  3 Ga 2.79-2.96
Bi2 0.0000 0.6292 0.2500  3 Ga 2.79-2.96
Bi3 0.5000 0.1292 0.2500  3 Ga 2.79-2.96
Bi4 0.5000 0.8708 0.7500  3 Ga 2.79-2.96



Record 6
Compound: GaSn3Pd6
Source: the Alexandria database
Functional: GGA-PBE
Structure: optimized geometry

The calculation puts the raw total energy at -50.4 eV/f.u. The value obtained for the calculated volume is 18.8 Å³ per atom.

a b c (Å): 7.9107 7.9107 6.6447
angles (deg): 90.00 90.00 115.09
Closest atoms and distances in Å follow each position.
Sites, in units of the cell vectors:
Ga1 0.2081 0.7919 0.5000  4 Pd 2.42-2.57
Ga2 0.7919 0.2081 0.0000  4 Pd 2.42-2.57
Sn1 0.1021 0.2866 0.4606  7 Pd 2.68-2.83
Sn2 0.2866 0.1021 0.9606  7 Pd 2.68-2.83
Sn3 0.4302 0.5698 0.1770  6 Pd 2.70-2.72
Sn4 0.5698 0.4302 0.6770  6 Pd 2.70-2.72
Sn5 0.7134 0.8979 0.4606  7 Pd 2.68-2.83
Sn6 0.8979 0.7134 0.9606  7 Pd 2.68-2.83
Pd1 0.0522 0.9478 0.2901  1 Ga 2.51, 4 Sn 2.78-2.79
Pd2 0.0813 0.5541 0.2113  1 Ga 2.57, 3 Sn 2.72-2.83, 3 Pd 2.83-2.87
Pd3 0.2422 0.7578 0.8581  1 Ga 2.42, 2 Sn 2.68
Pd4 0.2466 0.4070 0.8377  4 Sn 2.69-2.75, 4 Pd 2.79-2.94
Pd5 0.4070 0.2466 0.3377  4 Sn 2.69-2.75, 4 Pd 2.79-2.94
Pd6 0.4459 0.9187 0.2113  1 Ga 2.57, 3 Sn 2.72-2.83, 3 Pd 2.83-2.87
Pd7 0.5541 0.0813 0.7113  1 Ga 2.57, 3 Sn 2.72-2.83, 3 Pd 2.83-2.87
Pd8 0.5930 0.7534 0.8377  4 Sn 2.69-2.75, 4 Pd 2.79-2.94
Pd9 0.7534 0.5930 0.3377  4 Sn 2.69-2.75, 4 Pd 2.79-2.94
Pd10 0.7578 0.2422 0.3581  1 Ga 2.42, 2 Sn 2.68
Pd11 0.9187 0.4459 0.7113  1 Ga 2.57, 3 Sn 2.72-2.83, 3 Pd 2.83-2.87
Pd12 0.9478 0.0522 0.7901  1 Ga 2.51, 4 Sn 2.78-2.79



Record-wise calculated density values, in g/cm³: 5.88 4.10 9.67 7.79 4.20 9.39